No. 1
# La3Nd3Tm4 | Alexandria | GGA-PBE | optimized geometry
# Electronic total energy = -4.613 eV/atom
# Density = 7303 kg/m3
data_La3Nd3Tm4
_chemical_formula_sum 'La6 Nd6 Tm8'
_symmetry_space_group_name_H-M 'A m m 2'
_symmetry_Int_Tables_number 38
_cell_length_a 3.6456
_cell_length_b 13.7885
_cell_length_c 13.7971
_cell_angle_alpha 90.00
_cell_angle_beta 90.00
_cell_angle_gamma 90.00
loop_
_symmetry_equiv_pos_as_xyz
'x,y,z'
'-x,-y,z'
'-x,y,z'
'x,-y,z'
'x,y+1/2,z+1/2'
'-x,-y+1/2,z+1/2'
'-x,y+1/2,z+1/2'
'x,-y+1/2,z+1/2'
loop_
_atom_site_label
_atom_site_type_symbol
_atom_site_fract_x
_atom_site_fract_y
_atom_site_fract_z
_atom_site_occupancy
La1 La 0.0000 0.0000 0.0000 1
La2 La 0.5000 0.2486 0.5755 1
Nd1 Nd 0.0000 0.0000 0.6495 1
Nd2 Nd 0.0000 0.1747 0.3251 1
Tm1 Tm 0.5000 0.0000 0.2053 1
Tm2 Tm 0.5000 0.0000 0.4457 1
Tm3 Tm 0.5000 0.1210 0.8230 1

No. 2
# La2Nd7Tm3 | Alexandria | GGA-PBE | optimized geometry
# Excess energy over the best structure of this formula in the dataset = 0 meV per atom
# Density = 7223 kg/m3
data_La2Nd7Tm3
_chemical_formula_sum 'La2 Nd7 Tm3'
_symmetry_space_group_name_H-M 'P 1 2/m 1'
_symmetry_Int_Tables_number 10
_cell_length_a 6.5088
_cell_length_b 3.5875
_cell_length_c 17.7539
_cell_angle_alpha 90.00
_cell_angle_beta 95.73
_cell_angle_gamma 90.00
loop_
_symmetry_equiv_pos_as_xyz
'x,y,z'
'-x,-y,-z'
'-x,y,-z'
'x,-y,z'
loop_
_atom_site_label
_atom_site_type_symbol
_atom_site_fract_x
_atom_site_fract_y
_atom_site_fract_z
_atom_site_occupancy
La1 La 0.0595 0.0000 0.1699 1
Nd1 Nd 0.0000 0.5000 0.5000 1
Nd2 Nd 0.2297 0.0000 0.6696 1
Nd3 Nd 0.2588 0.0000 0.9953 1
Nd4 Nd 0.2802 0.5000 0.3370 1
Tm1 Tm 0.4551 0.5000 0.8417 1
Tm2 Tm 0.5000 0.0000 0.5000 1

No. 3
# La15Nd2Tm2 | Alexandria | GGA-PBE | optimized geometry
# Electronic total energy = -4.655 eV/atom
# Density = 6540 kg/m3
data_La15Nd2Tm2
_chemical_formula_sum 'La45 Nd6 Tm6'
_symmetry_space_group_name_H-M 'R -3 m'
_symmetry_Int_Tables_number 166
_symmetry_space_group_name_Hall '-R 3 2"'
_cell_length_a 11.2387
_cell_length_b 11.2387
_cell_length_c 18.8694
_cell_angle_alpha 90.00
_cell_angle_beta 90.00
_cell_angle_gamma 120.00
loop_
_atom_site_label
_atom_site_type_symbol
_atom_site_fract_x
_atom_site_fract_y
_atom_site_fract_z
_atom_site_occupancy
La1 La 0.0000 0.2946 0.0000 1
La2 La 0.0000 0.5000 0.5000 1
La3 La 0.0406 0.5203 0.1277 1
Nd1 Nd 0.0000 0.0000 0.2983 1
Tm1 Tm 0.0000 0.0000 0.0886 1

No. 4
# La5Nd8Tm | Alexandria | GGA-PBE | optimized geometry
# Electronic total energy = -4.580 eV/atom
# Density = 6642 kg/m3
data_La5Nd8Tm
_chemical_formula_sum 'La10 Nd16 Tm2'
_symmetry_space_group_name_H-M 'I -4'
_symmetry_Int_Tables_number 82
_cell_length_a 9.9106
_cell_length_b 9.9106
_cell_length_c 10.2700
_cell_angle_alpha 90.00
_cell_angle_beta 90.00
_cell_angle_gamma 90.00
loop_
_symmetry_equiv_pos_as_xyz
'x,y,z'
'y,-x,-z'
'-x,-y,z'
'-y,x,-z'
'x+1/2,y+1/2,z+1/2'
'y+1/2,-x+1/2,-z+1/2'
'-x+1/2,-y+1/2,z+1/2'
'-y+1/2,x+1/2,-z+1/2'
loop_
_atom_site_label
_atom_site_type_symbol
_atom_site_fract_x
_atom_site_fract_y
_atom_site_fract_z
_atom_site_occupancy
La1 La 0.0000 0.0000 0.0000 1
La2 La 0.1065 0.2132 0.4196 1
Nd1 Nd 0.0699 0.3308 0.0920 1
Nd2 Nd 0.0790 0.1831 0.7542 1
Tm1 Tm 0.0000 0.5000 0.7500 1

No. 5
# La7NdTm3 | Alexandria | GGA-PBE | optimized geometry
# Excess energy over the best structure of this formula in the dataset = 0 meV per atom
# Density = 6963 kg/m3
data_La7NdTm3
_chemical_formula_sum 'La7 Nd1 Tm3'
_symmetry_space_group_name_H-M 'P -1'
_symmetry_Int_Tables_number 2
_cell_length_a 6.6354
_cell_length_b 6.7747
_cell_length_c 8.9117
_cell_angle_alpha 99.65
_cell_angle_beta 98.97
_cell_angle_gamma 95.37
loop_
_symmetry_equiv_pos_as_xyz
'x,y,z'
'-x,-y,-z'
loop_
_atom_site_label
_atom_site_type_symbol
_atom_site_fract_x
_atom_site_fract_y
_atom_site_fract_z
_atom_site_occupancy
La1 La 0.0000 0.0000 0.0000 1
La2 La 0.0453 0.7083 0.6436 1
La3 La 0.2121 0.2220 0.7078 1
La4 La 0.4813 0.7372 0.9092 1
Nd1 Nd 0.0000 0.5000 0.0000 1
Tm1 Tm 0.3169 0.9242 0.3371 1
Tm2 Tm 0.5000 0.5000 0.5000 1

No. 6
# La8Nd3Tm3 | Alexandria | GGA-PBE | optimized geometry
# Electronic total energy = -4.707 eV/atom
# Density = 6912 kg/m3
data_La8Nd3Tm3
_chemical_formula_sum 'La16 Nd6 Tm6'
_symmetry_space_group_name_H-M 'I m m m'
_symmetry_Int_Tables_number 71
_symmetry_space_group_name_Hall '-I 2 2'
_cell_length_a 5.7803
_cell_length_b 11.0212
_cell_length_c 15.4675
_cell_angle_alpha 90.00
_cell_angle_beta 90.00
_cell_angle_gamma 90.00
loop_
_atom_site_label
_atom_site_type_symbol
_atom_site_fract_x
_atom_site_fract_y
_atom_site_fract_z
_atom_site_occupancy
La1 La 0.0000 0.1589 0.2253 1
La2 La 0.0000 0.3368 0.3952 1
Nd1 Nd 0.0000 0.0000 0.5000 1
Nd2 Nd 0.0000 0.5000 0.1770 1
Tm1 Tm 0.0000 0.0000 0.0000 1
Tm2 Tm 0.0000 0.3004 0.0000 1

No. 7
# La2NdTm4 | Alexandria | GGA-PBE | optimized geometry
# Excess energy over the best structure of this formula in the dataset = 172 meV per atom
# Density = 7833 kg/m3
data_La2NdTm4
_chemical_formula_sum 'La2 Nd1 Tm4'
_symmetry_space_group_name_H-M 'P 1'
_symmetry_Int_Tables_number 1
_cell_length_a 6.4029
_cell_length_b 6.5429
_cell_length_c 6.5567
_cell_angle_alpha 92.08
_cell_angle_beta 111.11
_cell_angle_gamma 112.08
loop_
_symmetry_equiv_pos_as_xyz
'x,y,z'
loop_
_atom_site_label
_atom_site_type_symbol
_atom_site_fract_x
_atom_site_fract_y
_atom_site_fract_z
_atom_site_occupancy
La1 La 0.0000 0.0000 0.0000 1
La2 La 0.4627 0.8957 0.8865 1
Nd1 Nd 0.2312 0.4479 0.4431 1
Tm1 Tm 0.5161 0.4209 0.0400 1
Tm2 Tm 0.5189 0.0508 0.4122 1
Tm3 Tm 0.9423 0.8452 0.4745 1
Tm4 Tm 0.9480 0.4746 0.8461 1

No. 8
# La5Nd2Tm12 | Alexandria | GGA-PBE | optimized geometry
# Electronic total energy = -4.529 eV/atom
# Density = 8017 kg/m3
data_La5Nd2Tm12
_chemical_formula_sum 'La5 Nd2 Tm12'
_symmetry_space_group_name_H-M 'P -1'
_symmetry_Int_Tables_number 2
_cell_length_a 6.7734
_cell_length_b 6.8175
_cell_length_c 15.1182
_cell_angle_alpha 88.03
_cell_angle_beta 80.68
_cell_angle_gamma 64.92
loop_
_symmetry_equiv_pos_as_xyz
'x,y,z'
'-x,-y,-z'
loop_
_atom_site_label
_atom_site_type_symbol
_atom_site_fract_x
_atom_site_fract_y
_atom_site_fract_z
_atom_site_occupancy
La1 La 0.0000 0.0000 0.0000 1
La2 La 0.2332 0.9967 0.5348 1
La3 La 0.4244 0.9465 0.1184 1
Nd1 Nd 0.2633 0.4880 0.4688 1
Tm1 Tm 0.0794 0.2406 0.3136 1
Tm2 Tm 0.0814 0.7384 0.2561 1
Tm3 Tm 0.1232 0.5169 0.8832 1
Tm4 Tm 0.3852 0.4321 0.0788 1
Tm5 Tm 0.3877 0.7757 0.7431 1
Tm6 Tm 0.4380 0.2657 0.6758 1